1.
A geometry-optimized Nd2GaNi structure, computed with GGA-PBE.

Calculated values
Calculated formation energy = -143.3 kJ/mol of formula units

a b c (Å): 3.5568 3.5568 7.3885
angles (deg): 90.00 90.00 90.00
Closest atoms and distances in Å follow each position.
Space group P4/mmm (No. 123)
Asymmetric unit:
Nd  0.0000  0.0000  0.2314 [2 per cell]  4 Ni 3.04, 4 Ga 3.20
Ga  0.5000  0.5000  0.5000 [1 per cell]  8 Nd 3.20, 4 Ga 3.56
Ni  0.5000  0.5000  0.0000 [1 per cell]  8 Nd 3.04



2.
A geometry-optimized Nd2Ga3Ni2 structure, computed with GGA-PBE.

Calculated values
Calculated formation energy = -351.9 kJ/mol of formula units
Energy above the most stable polymorph in this dataset = 2.8 kJ/mol of atoms

a b c (Å): 4.2383 18.3671 6.9825
angles (deg): 90.00 90.00 90.00
Closest atoms and distances in Å follow each position.
Space group Cmcm (No. 63)
Asymmetric unit:
Nd  0.0000  0.0594  0.2500 [4 per cell]  9 Ga 3.00-3.33
Nd  0.0000  0.1625  0.7500 [4 per cell]  6 Ni 2.97-3.07, 6 Ga 2.99-3.07
Ga  0.0000  0.2228  0.2500 [4 per cell]  6 Ni 2.56-2.65
Ga  0.0000  0.4374  0.0693 [8 per cell]  2 Ga 2.49-2.52, 1 Ni 2.56
Ni  0.0000  0.3069  0.5585 [8 per cell]  4 Ga 2.56-2.65, 1 Ni 2.67



3.
A geometry-optimized NdGa2Ni10 structure, computed with GGA-PBE.

Calculated values
Calculated formation energy = -250.1 kJ/mol of formula units

a b c (Å): 4.8748 11.6336 11.8028
angles (deg): 90.00 90.00 90.00
Closest atoms and distances in Å follow each position.
Space group Fmmm (No. 69)
Asymmetric unit:
Nd  0.0000  0.0000  0.0000 [4 per cell]  16 Ni 2.94-3.15, 4 Ga 3.19
Ga  0.2500  0.0000  0.2500 [8 per cell]  8 Ni 2.42-2.56, 2 Ga 2.44
Ni  0.0000  0.1147  0.3870 [16 per cell]  8 Ni 2.40-2.67, 2 Ga 2.42
Ni  0.0000  0.1786  0.1756 [16 per cell]  7 Ni 2.42-2.65, 2 Ga 2.56
Ni  0.2500  0.2500  0.0000 [8 per cell]  10 Ni 2.40-2.54



4.
A geometry-optimized Nd4Ga2Ni structure, computed with GGA-PBE.

Calculated values
Calculated formation energy = -197.2 kJ/mol of formula units

a b c (Å): 16.9476 3.8645 6.2382
angles (deg): 90.00 110.80 90.00
Closest atoms and distances in Å follow each position.
Space group C2/m (No. 12)
Asymmetric unit:
Nd  0.0877  0.0000  0.4408 [4 per cell]  1 Ni 2.62
Nd  0.1345  0.5000  0.9954 [4 per cell]  2 Ni 3.00, 3 Ga 3.18-3.29
Ga  0.2382  0.5000  0.6395 [4 per cell]  2 Ga 2.72
Ni  0.0000  0.0000  0.0000 [2 per cell]  2 Nd 2.62



5.
A geometry-optimized Nd3GaNi2 structure, computed with GGA-PBE.

Calculated values
Calculated formation energy = -205.9 kJ/mol of formula units
Energy above the most stable polymorph in this dataset = 0.0 kJ/mol of atoms

a b c (Å): 5.7061 11.6153 9.1752
angles (deg): 90.00 109.94 90.00
Closest atoms and distances in Å follow each position.
Space group P2_1/c (No. 14)
Asymmetric unit:
Nd  0.1599  0.2333  0.3179 [4 per cell]  2 Ni 2.82-2.83
Nd  0.2371  0.5963  0.9950 [4 per cell]  5 Ni 2.84-3.05
Nd  0.3031  0.5530  0.6074 [4 per cell]  3 Ni 2.86-2.94, 1 Ga 3.20
Ga  0.4258  0.6928  0.3403 [4 per cell]  2 Ni 2.46-2.59
Ni  0.1641  0.5052  0.2795 [4 per cell]  1 Ni 2.54, 1 Ga 2.59
Ni  0.3196  0.1307  0.6151 [4 per cell]  1 Ga 2.46, 1 Ni 2.54



6.
A geometry-optimized Nd8GaNi2 structure, computed with GGA-PBE.

Calculated values
Calculated formation energy = -111.4 kJ/mol of formula units
Energy above the most stable polymorph in this dataset = 8.4 kJ/mol of atoms

a b c (Å): 8.6721 13.6604 5.5700
angles (deg): 90.00 105.82 90.00
Closest atoms and distances in Å follow each position.
Space group Cm (No. 8)
Asymmetric unit:
Nd  0.0000  0.0000  0.0000 [2 per cell]  1 Ga 3.21, 4 Nd 3.26-3.52, 2 Ni 3.26
Nd  0.0915  0.3745  0.7593 [4 per cell]  2 Ni 2.87-2.93
Nd  0.1779  0.1254  0.6135 [4 per cell]  2 Ni 2.87-2.93
Nd  0.2694  0.5000  0.3736 [2 per cell]  1 Ga 3.21, 4 Nd 3.26-3.52, 2 Ni 3.26
Nd  0.3845  0.2391  0.1867 [4 per cell]  2 Ni 2.90
Ga  0.3845  0.0000  0.1900 [2 per cell]  4 Nd 3.21-3.27
Ni  0.3846  0.2991  0.6868 [4 per cell]  6 Nd 2.87-2.93



7.
A geometry-optimized Nd6Ga2Ni structure, computed with GGA-PBE.

Calculated values
Calculated formation energy = -65.9 kJ/mol of formula units

a b c (Å): 7.2486 7.2486 11.3936
angles (deg): 90.00 90.00 90.00
Closest atoms and distances in Å follow each position.
Space group P4_2/mnm (No. 136)
Asymmetric unit:
Nd  0.2044  0.2044  0.1710 [8 per cell]  1 Ni 2.86, 2 Ga 3.07-3.10
Nd  0.2445  0.2445  0.5000 [4 per cell]  1 Ni 2.62, 2 Ga 2.90
Ga  0.0000  0.0000  0.3712 [4 per cell]  6 Nd 2.90-3.10, 1 Ga 2.93
Ni  0.0000  0.0000  0.0000 [2 per cell]  6 Nd 2.62-2.86



8.
A geometry-optimized NdGa12Ni6 structure, computed with GGA-PBE.

Calculated values
Calculated formation energy = -616.7 kJ/mol of formula units

a b c (Å): 10.9364 10.9364 8.5858
angles (deg): 90.00 90.00 120.00
Closest atoms and distances in Å follow each position.
Space group R-3m (No. 166, hexagonal axes)
Asymmetric unit:
Nd  0.0000  0.0000  0.0000 [3 per cell]  6 Ga 3.21
Ga  0.0000  0.3855  0.5000 [18 per cell]  4 Ni 2.40-2.59, 1 Ga 2.50
Ga  0.0856  0.1713  0.3229 [18 per cell]  3 Ni 2.41-2.51
Ni  0.0488  0.5244  0.2415 [18 per cell]  7 Ga 2.40-2.59



9.
A geometry-optimized NdGa6Ni6 structure, computed with GGA-PBE.

Calculated values
Calculated formation energy = -569.8 kJ/mol of formula units

a b c (Å): 5.0400 8.3681 8.7502
angles (deg): 90.00 90.00 90.00
Closest atoms and distances in Å follow each position.
Space group Immm (No. 71)
Asymmetric unit:
Nd  0.0000  0.0000  0.0000 [2 per cell]  8 Ga 2.88-3.04, 4 Ni 3.22
Ga  0.0000  0.0000  0.3470 [4 per cell]  6 Ni 2.56-2.59, 1 Ga 2.68
Ga  0.0000  0.3444  0.0000 [4 per cell]  1 Ga 2.60, 6 Ni 2.65-2.67, 1 Nd 2.88
Ga  0.0000  0.5000  0.3095 [4 per cell]  6 Ni 2.50-2.61
Ni  0.0000  0.2602  0.5000 [4 per cell]  4 Ni 2.53, 6 Ga 2.56-2.67
Ni  0.2500  0.2500  0.2500 [8 per cell]  6 Ga 2.50-2.65, 4 Ni 2.52-2.53



10.
A geometry-optimized NdGa3Ni3 structure, computed with GGA-PBE.

Calculated values
Calculated formation energy = -201.1 kJ/mol of formula units
Energy above the most stable polymorph in this dataset = 0.0 kJ/mol of atoms

a b c (Å): 6.4568 6.4568 19.1188
angles (deg): 90.00 90.00 120.00
Closest atoms and distances in Å follow each position.
Space group R-3 (No. 148, hexagonal axes)
Asymmetric unit:
Nd  0.0000  0.0000  0.1580 [6 per cell]  6 Ni 2.86-3.10, 6 Ga 3.09-3.11
Ga  0.0364  0.6067  0.3746 [18 per cell]  4 Ni 2.44-2.55, 2 Ga 2.66
Ni  0.0112  0.7829  0.5774 [18 per cell]  4 Ga 2.44-2.55, 2 Ni 2.49



11.
A geometry-optimized Nd8GaNi2 structure, computed with GGA-PBE.

Calculated values
Calculated formation energy = -203.5 kJ/mol of formula units
Energy above the most stable polymorph in this dataset = 0.0 kJ/mol of atoms

a b c (Å): 18.3884 5.2212 6.9400
angles (deg): 90.00 110.56 90.00
Closest atoms and distances in Å follow each position.
Space group C2/m (No. 12)
Asymmetric unit:
Nd  0.0331  0.0000  0.2861 [4 per cell]  1 Ni 2.70
Nd  0.0946  0.5000  0.9770 [4 per cell]  1 Ga 3.15, 2 Ni 3.15, 3 Nd 3.46-3.51
Nd  0.1798  0.5000  0.5074 [4 per cell]  1 Ni 2.75
Nd  0.1961  0.0000  0.8452 [4 per cell]  1 Ni 2.82
Ga  0.0000  0.5000  0.5000 [2 per cell]  8 Nd 3.15-3.29
Ni  0.1696  0.0000  0.2208 [4 per cell]  3 Nd 2.70-2.82



12.
A geometry-optimized Nd12GaNi6 structure, computed with GGA-PBE.

Calculated values
Calculated formation energy = -479.6 kJ/mol of formula units

a b c (Å): 10.0066 10.0066 10.0066
angles (deg): 90.00 90.00 90.00
Closest atoms and distances in Å follow each position.
Space group Im-3 (No. 204)
Asymmetric unit:
Nd  0.0000  0.1853  0.3042 [24 per cell]  3 Ni 2.75-2.96
Ga  0.0000  0.0000  0.0000 [2 per cell]  12 Nd 3.56
Ni  0.0000  0.3779  0.5000 [12 per cell]  1 Ni 2.44



13.
A geometry-optimized NdGa6Ni12 structure, computed with GGA-PBE.

Calculated values
Calculated formation energy = -421.7 kJ/mol of formula units

a b c (Å): 10.6067 10.6067 8.0720
angles (deg): 90.00 90.00 120.00
Closest atoms and distances in Å follow each position.
Space group R-3m (No. 166, hexagonal axes)
Asymmetric unit:
Nd  0.0000  0.0000  0.0000 [3 per cell]  6 Ni 2.97
Ga  0.0409  0.5205  0.2487 [18 per cell]  7 Ni 2.32-2.47
Ni  0.0000  0.3858  0.5000 [18 per cell]  4 Ga 2.32-2.39, 1 Ni 2.42
Ni  0.0828  0.1656  0.3157 [18 per cell]  4 Ga 2.45-2.67, 4 Ni 2.60-2.64



14.
A geometry-optimized Nd3Ga3Ni8 structure, computed with GGA-PBE.

Calculated values
Calculated formation energy = -515.9 kJ/mol of formula units

a b c (Å): 4.0837 9.2571 12.3375
angles (deg): 90.00 90.00 90.00
Closest atoms and distances in Å follow each position.
Space group Immm (No. 71)
Asymmetric unit:
Nd  0.0000  0.0000  0.0000 [2 per cell]  4 Ni 2.94, 4 Ga 3.19
Nd  0.0000  0.0000  0.2943 [4 per cell]  10 Ni 2.85-3.11
Ga  0.0000  0.2354  0.5000 [4 per cell]  6 Ni 2.45-2.50
Ga  0.0000  0.5000  0.0000 [2 per cell]  4 Ni 2.42
Ni  0.0000  0.2826  0.1083 [8 per cell]  3 Ga 2.42-2.45, 4 Ni 2.44-2.67
Ni  0.0000  0.3076  0.3050 [8 per cell]  5 Ni 2.44-2.67, 1 Ga 2.50



15.
A geometry-optimized NdGa9Ni2 structure, computed with GGA-PBE.

Calculated values
Calculated formation energy = -280.5 kJ/mol of formula units

a b c (Å): 11.1199 11.1199 6.6380
angles (deg): 90.00 90.00 90.00
Closest atoms and distances in Å follow each position.
Space group I4_1/amd (No. 141, origin choice 2)
Asymmetric unit:
Nd  0.0000  0.2500  0.3750 [4 per cell]  10 Ga 3.21-3.32
Ga  0.0000  0.2500  0.8750 [4 per cell]  8 Ga 2.82, 4 Ni 2.90
Ga  0.1198  0.0600  0.6795 [32 per cell]  2 Ni 2.60, 6 Ga 2.66-2.82
Ni  0.0000  0.0000  0.0000 [8 per cell]  10 Ga 2.60-2.90



16.
A geometry-optimized Nd2Ga2Ni3 structure, computed with GGA-PBE.

Calculated values
Calculated formation energy = -295.3 kJ/mol of formula units
Energy above the most stable polymorph in this dataset = 4.3 kJ/mol of atoms

a b c (Å): 10.7999 3.8597 6.7608
angles (deg): 90.00 114.61 90.00
Closest atoms and distances in Å follow each position.
Space group C2/m (No. 12)
Asymmetric unit:
Nd  0.1292  0.0000  0.2655 [4 per cell]  6 Ni 2.91-3.17, 4 Ga 3.01-3.18
Ga  0.1540  0.0000  0.7516 [4 per cell]  5 Ni 2.44-2.65
Ni  0.0000  0.5000  0.5000 [2 per cell]  2 Ni 2.63, 4 Ga 2.65
Ni  0.1049  0.5000  0.9281 [4 per cell]  3 Ga 2.44-2.60, 1 Ni 2.63



17.
A geometry-optimized Nd2GaNi16 structure, computed with GGA-PBE.

Calculated values
Calculated formation energy = -393.4 kJ/mol of formula units

a b c (Å): 8.3779 8.3779 12.2222
angles (deg): 90.00 90.00 120.00
Closest atoms and distances in Å follow each position.
Space group R3m (No. 160, hexagonal axes)
Asymmetric unit:
Nd  0.0000  0.0000  0.0000 [3 per cell]  19 Ni 2.94-3.23
Nd  0.0000  0.0000  0.3132 [3 per cell]  18 Ni 2.98-3.25, 1 Ga 3.10
Ga  0.0000  0.0000  0.5672 [3 per cell]  7 Ni 2.35-2.62
Ni  0.0000  0.0000  0.7598 [3 per cell]  1 Ga 2.35, 6 Ni 2.56-2.57
Ni  0.9999  0.2938  0.6597 [18 per cell]  8 Ni 2.39-2.58
Ni  0.0012  0.5006  0.1589 [9 per cell]  9 Ni 2.39-2.56, 1 Ga 2.58
Ni  0.0032  0.5016  0.5032 [9 per cell]  9 Ni 2.42-2.58
Ni  0.1682  0.3364  0.1478 [9 per cell]  8 Ni 2.41-2.56, 1 Ga 2.62



18.
A geometry-optimized Nd6GaNi structure, computed with GGA-PBE.

Calculated values
Calculated formation energy = -20.7 kJ/mol of formula units

a b c (Å): 7.4502 11.0246 6.5772
angles (deg): 90.00 108.17 90.00
Closest atoms and distances in Å follow each position.
Space group C2/m (No. 12)
Asymmetric unit:
Nd  0.1961  0.1841  0.2551 [8 per cell]  1 Ni 2.75
Nd  0.2400  0.5000  0.2032 [4 per cell]  1 Ni 2.67
Ga  0.0000  0.5000  0.5000 [2 per cell]  6 Nd 3.03-3.09
Ni  0.0000  0.0000  0.0000 [2 per cell]  6 Nd 2.67-2.75



| no. | VASP energy (eV per atom) | theoretical density (kg/m³) |
| --- | --- | --- |
| 1 | -4.96 | 7407 |
| 2 | -4.83 | 7516 |
| 3 | -5.48 | 8639 |
| 4 | -4.71 | 6740 |
| 5 | -5.17 | 7202 |
| 6 | -4.90 | 7015 |
| 7 | -4.57 | 5900 |
| 8 | -4.32 | 7467 |
| 9 | -4.89 | 8232 |
| 10 | -4.75 | 7643 |
| 11 | -4.99 | 7139 |
| 12 | -5.26 | 7135 |
| 13 | -5.09 | 8025 |
| 14 | -5.36 | 7914 |
| 15 | -3.87 | 7195 |
| 16 | -5.14 | 7829 |
| 17 | -5.74 | 8699 |
| 18 | -4.70 | 6431 |